Compound: KSr2VO4
Source: Alexandria via LeMat-Bulk
Functional: GGA+U
Structure: relaxed

Computed properties:
Total DFT energy (no corrections) = -0.452 Ry per atom
Fermi-level density of states = 0.7 states/eV per cell

Cell lengths 6.5844, 6.5844, 12.5930 Å; angles 90.00, 90.00, 146.77 degrees
Fractional positions:
K  0.0912  0.9088  0.7500
K  0.9088  0.0912  0.2500
Sr  0.3712  0.6288  0.5394
Sr  0.3712  0.6288  0.9606
Sr  0.6288  0.3712  0.0394
Sr  0.6288  0.3712  0.4606
V  0.1913  0.8087  0.2500
V  0.8087  0.1913  0.7500
O  0.0000  0.0000  0.0000
O  0.0000  0.0000  0.5000
O  0.2503  0.7497  0.1143
O  0.2503  0.7497  0.3857
O  0.3652  0.6348  0.7500
O  0.6348  0.3652  0.2500
O  0.7497  0.2503  0.6143
O  0.7497  0.2503  0.8857